Below is LiCuAg2 after structural relaxation, with properties calculated at the GGA-PBEsol level.

Cell: 9.2214 2.7611 4.6306 Å, 90.00 100.61 90.00°
With the nearest neighbours (Å) after each atom.
Space group Cm (No. 8)
Inequivalent atoms, fractional coordinates:
Li 0.0000 0.0000 0.0000 [2 per cell]  7 Ag 2.65-2.75, 2 Li 2.76, 3 Cu 2.76-2.86
Cu 0.2537 0.0000 0.7246 [2 per cell]  7 Ag 2.67-2.71, 2 Cu 2.76, 3 Li 2.76-2.86
Ag 0.0094 0.5000 0.5158 [2 per cell]  4 Li 2.65-2.75, 3 Cu 2.67-2.71, 5 Ag 2.76-2.85
Ag 0.2538 0.5000 0.2210 [2 per cell]  3 Li 2.66-2.75, 4 Cu 2.68-2.71, 5 Ag 2.76-2.85

Calculated volume = 115.9 Å³/cell
Formation enthalpy at 0 K = -4.4 kJ/mol of atoms